Record 1
# SrSnRh3 | Alexandria via LeMat-Bulk | PBE | optimized geometry
# Volume, Å³ per cell: 122
# Formation enthalpy at 0 K, eV per atom: 1.4452
# Crystal system: cubic
# VASP energy, eV per atom: -4.10
# Energy above the lowest structure with this stoichiometry, eV/f.u.: 8.53
# Total magnetization, μB/f.u.: 0.92
data_SrSnRh3
_chemical_formula_sum 'Sr1 Sn1 Rh3'
_cell_length_a 4.958
_cell_length_b 4.958
_cell_length_c 4.958
_cell_angle_alpha 90.00
_cell_angle_beta 90.00
_cell_angle_gamma 90.00
_space_group_name_H-M_alt 'P 1'
_space_group_IT_number 1
loop_
_space_group_symop_operation_xyz
'x,y,z'
loop_
_atom_site_label
_atom_site_fract_x
_atom_site_fract_y
_atom_site_fract_z
Sr1 0.000 0.000 0.000
Sn1 0.500 0.500 0.500
Rh1 0.000 0.000 0.500
Rh2 0.000 0.500 0.000
Rh3 0.500 0.000 0.000


Record 2
# LaCrBi3 | Alexandria via LeMat-Bulk | PBE | optimized geometry
# Volume, Å³ per cell: 230
# Formation enthalpy at 0 K, eV per atom: 0.9068
# Crystal system: cubic
# VASP energy, eV per atom: -4.33
# Total magnetization, μB/f.u.: 4.76
data_LaCrBi3
_chemical_formula_sum 'La1 Cr1 Bi3'
_cell_length_a 6.127
_cell_length_b 6.127
_cell_length_c 6.127
_cell_angle_alpha 90.00
_cell_angle_beta 90.00
_cell_angle_gamma 90.00
_space_group_name_H-M_alt 'P 1'
_space_group_IT_number 1
loop_
_space_group_symop_operation_xyz
'x,y,z'
loop_
_atom_site_label
_atom_site_fract_x
_atom_site_fract_y
_atom_site_fract_z
La1 0.000 0.000 0.000
Cr1 0.500 0.500 0.500
Bi1 0.000 0.000 0.500
Bi2 0.000 0.500 0.000
Bi3 0.500 0.000 0.000


Record 3
# LiTeH2F | Alexandria via LeMat-Bulk | PBE | optimized geometry
# Volume, Å³ per cell: 87
# Crystal system: triclinic
# VASP energy, eV per atom: -3.60
# Energy above the lowest structure with this stoichiometry, eV/f.u.: 1.06
# Total magnetization, μB/f.u.: 0.00
data_LiTeH2F
_chemical_formula_sum 'Li1 Te1 H2 F1'
_cell_length_a 3.761
_cell_length_b 4.743
_cell_length_c 5.174
_cell_angle_alpha 87.84
_cell_angle_beta 70.37
_cell_angle_gamma 89.13
_space_group_name_H-M_alt 'P 1'
_space_group_IT_number 1
loop_
_space_group_symop_operation_xyz
'x,y,z'
loop_
_atom_site_label
_atom_site_fract_x
_atom_site_fract_y
_atom_site_fract_z
Li1 0.000 0.000 0.000
Te1 0.999 0.659 0.512
H1 0.299 0.410 0.341
H2 0.705 0.405 0.699
F1 0.500 0.042 0.997


Record 4
# RbAl3Br | Alexandria via LeMat-Bulk | PBE | optimized geometry
# Volume, Å³ per cell: 187
# E_form (uncorrected), eV/atom: 0.578
# Crystal system: cubic
# VASP energy, eV per atom: -2.20
# Energy above the lowest structure with this stoichiometry, eV/f.u.: 0.00
# Total magnetization, μB/f.u.: 0.00
data_RbAl3Br
_chemical_formula_sum 'Rb1 Al3 Br1'
_cell_length_a 5.721
_cell_length_b 5.721
_cell_length_c 5.721
_cell_angle_alpha 90.00
_cell_angle_beta 90.00
_cell_angle_gamma 90.00
_space_group_name_H-M_alt 'P 1'
_space_group_IT_number 1
loop_
_space_group_symop_operation_xyz
'x,y,z'
loop_
_atom_site_label
_atom_site_fract_x
_atom_site_fract_y
_atom_site_fract_z
Rb1 0.000 0.000 0.000
Al1 0.000 0.500 0.500
Al2 0.500 0.000 0.500
Al3 0.500 0.500 0.000
Br1 0.500 0.500 0.500


Record 5
# Al5SiNi2 | Alexandria via LeMat-Bulk | PBE | optimized geometry
# Volume, Å³ per cell: 235
# E_form (uncorrected), eV/atom: -0.159
# Crystal system: orthorhombic
# VASP energy, eV per atom: -4.62
# Energy above the lowest structure with this stoichiometry, eV/f.u.: 0.80
# Total magnetization, μB/f.u.: 0.00
data_Al5SiNi2
_chemical_formula_sum 'Al10 Si2 Ni4'
_cell_length_a 6.065
_cell_length_b 9.469
_cell_length_c 4.096
_cell_angle_alpha 90.00
_cell_angle_beta 90.00
_cell_angle_gamma 90.00
_space_group_name_H-M_alt 'P 1'
_space_group_IT_number 1
loop_
_space_group_symop_operation_xyz
'x,y,z'
loop_
_atom_site_label
_atom_site_fract_x
_atom_site_fract_y
_atom_site_fract_z
Al1 0.000 0.000 0.000
Al2 0.177 0.401 0.500
Al3 0.185 0.733 0.000
Al4 0.315 0.233 0.000
Al5 0.323 0.901 0.500
Al6 0.500 0.500 0.000
Al7 0.677 0.099 0.500
Al8 0.685 0.767 0.000
Al9 0.815 0.267 0.000
Al10 0.823 0.599 0.500
Si1 0.000 0.500 0.000
Si2 0.500 0.000 0.000
Ni1 0.059 0.147 0.500
Ni2 0.441 0.647 0.500
Ni3 0.559 0.353 0.500
Ni4 0.941 0.853 0.500


Record 6
# Mg3BeBi | Alexandria via LeMat-Bulk | PBE | optimized geometry
# Volume, Å³ per cell: 167
# Formation enthalpy at 0 K, eV per atom: 0.9157
# Crystal system: cubic
# VASP energy, eV per atom: -1.56
# Energy above the lowest structure with this stoichiometry, eV/f.u.: 3.50
# Total magnetization, μB/f.u.: 0.00
data_Mg3BeBi
_chemical_formula_sum 'Mg3 Be1 Bi1'
_cell_length_a 5.512
_cell_length_b 5.512
_cell_length_c 5.512
_cell_angle_alpha 90.00
_cell_angle_beta 90.00
_cell_angle_gamma 90.00
_space_group_name_H-M_alt 'P 1'
_space_group_IT_number 1
loop_
_space_group_symop_operation_xyz
'x,y,z'
loop_
_atom_site_label
_atom_site_fract_x
_atom_site_fract_y
_atom_site_fract_z
Mg1 0.000 0.000 0.500
Mg2 0.000 0.500 0.000
Mg3 0.500 0.000 0.000
Be1 0.500 0.500 0.500
Bi1 0.000 0.000 0.000


Record 7
# DyGeAs | Alexandria via LeMat-Bulk | PBE | optimized geometry
# Volume, Å³ per cell: 129
# Formation enthalpy at 0 K, eV per atom: -0.8227
# Crystal system: orthorhombic
# VASP energy, eV per atom: -5.45
# Total magnetization, μB/f.u.: 0.00
data_DyGeAs
_chemical_formula_sum 'Dy2 Ge2 As2'
_cell_length_a 8.320
_cell_length_b 8.320
_cell_length_c 3.923
_cell_angle_alpha 90.00
_cell_angle_beta 90.00
_cell_angle_gamma 151.66
_space_group_name_H-M_alt 'P 1'
_space_group_IT_number 1
loop_
_space_group_symop_operation_xyz
'x,y,z'
loop_
_atom_site_label
_atom_site_fract_x
_atom_site_fract_y
_atom_site_fract_z
Dy1 0.109 0.891 0.750
Dy2 0.891 0.109 0.250
Ge1 0.450 0.550 0.750
Ge2 0.550 0.450 0.250
As1 0.251 0.749 0.250
As2 0.749 0.251 0.750


Record 8
# Sm3Zn2Au | Alexandria via LeMat-Bulk | PBE | optimized geometry
# Volume, Å³ per cell: 146
# Formation enthalpy at 0 K, eV per atom: -0.4856
# Crystal system: tetragonal
# VASP energy, eV per atom: -3.82
# Energy above the lowest structure with this stoichiometry, eV/f.u.: 0.00
# Total magnetization, μB/f.u.: 0.00
data_Sm3Zn2Au
_chemical_formula_sum 'Sm3 Zn2 Au1'
_cell_length_a 3.666
_cell_length_b 3.666
_cell_length_c 10.860
_cell_angle_alpha 90.00
_cell_angle_beta 90.00
_cell_angle_gamma 90.00
_space_group_name_H-M_alt 'P 1'
_space_group_IT_number 1
loop_
_space_group_symop_operation_xyz
'x,y,z'
loop_
_atom_site_label
_atom_site_fract_x
_atom_site_fract_y
_atom_site_fract_z
Sm1 0.000 0.000 0.000
Sm2 0.000 0.000 0.331
Sm3 0.000 0.000 0.669
Zn1 0.500 0.500 0.160
Zn2 0.500 0.500 0.840
Au1 0.500 0.500 0.500


Record 9
# Ti6TlO12 | Alexandria via LeMat-Bulk | PBE | optimized geometry
# Volume, Å³ per cell: 204
# E_form (uncorrected), eV/atom: -2.536
# Crystal system: trigonal
# VASP energy, eV per atom: -8.29
# Total magnetization, μB/f.u.: 0.00
data_Ti6TlO12
_chemical_formula_sum 'Ti6 Tl1 O12'
_cell_length_a 6.137
_cell_length_b 6.137
_cell_length_c 6.137
_cell_angle_alpha 104.57
_cell_angle_beta 104.57
_cell_angle_gamma 104.57
_space_group_name_H-M_alt 'P 1'
_space_group_IT_number 1
loop_
_space_group_symop_operation_xyz
'x,y,z'
loop_
_atom_site_label
_atom_site_fract_x
_atom_site_fract_y
_atom_site_fract_z
Ti1 0.237 0.237 0.618
Ti2 0.237 0.618 0.237
Ti3 0.382 0.763 0.763
Ti4 0.618 0.237 0.237
Ti5 0.763 0.382 0.763
Ti6 0.763 0.763 0.382
Tl1 0.000 0.000 0.000
O1 0.125 0.500 0.875
O2 0.125 0.875 0.500
O3 0.187 0.456 0.456
O4 0.456 0.187 0.456
O5 0.456 0.456 0.187
O6 0.500 0.125 0.875
O7 0.500 0.875 0.125
O8 0.544 0.544 0.813
O9 0.544 0.813 0.544
O10 0.813 0.544 0.544
O11 0.875 0.125 0.500
O12 0.875 0.500 0.125


Record 10
# Ac4SiAu2 | Alexandria via LeMat-Bulk | PBE | optimized geometry
# Volume, Å³ per cell: 273
# E_form (uncorrected), eV/atom: -0.321
# Crystal system: tetragonal
# VASP energy, eV per atom: -4.38
# Total magnetization, μB/f.u.: 0.00
data_Ac4SiAu2
_chemical_formula_sum 'Ac4 Si1 Au2'
_cell_length_a 8.679
_cell_length_b 8.679
_cell_length_c 8.679
_cell_angle_alpha 139.49
_cell_angle_beta 139.49
_cell_angle_gamma 58.62
_space_group_name_H-M_alt 'P 1'
_space_group_IT_number 1
loop_
_space_group_symop_operation_xyz
'x,y,z'
loop_
_atom_site_label
_atom_site_fract_x
_atom_site_fract_y
_atom_site_fract_z
Ac1 0.000 0.500 0.500
Ac2 0.201 0.201 0.000
Ac3 0.500 0.000 0.500
Ac4 0.799 0.799 0.000
Si1 0.000 0.000 0.000
Au1 0.402 0.402 0.000
Au2 0.598 0.598 0.000


- What is the formula in the second record?
  LaCrBi3